(1)
Entry from Alexandria: Tl3Pd2Au after structural relaxation (PBE-GGA).

Lattice parameters (Å, degrees): 15.075 4.555 8.357 90.00 104.47 90.00
Space group C2/m (No. 12)
Symmetry-distinct sites (fractional):
Tl: 0.096 0.000 0.205 (multiplicity 4)
Tl: 0.100 0.500 0.856 (multiplicity 4)
Tl: 0.238 0.000 0.654 (multiplicity 4)
Pd: 0.052 0.000 0.657 (multiplicity 4)
Pd: 0.196 0.000 0.973 (multiplicity 4)
Au: 0.087 0.500 0.455 (multiplicity 4)

Computed properties:
energy = -3.5394 eV per atom
DOS at the Fermi energy = 9.466 states/eV per cell
ΔE_f = -0.079 eV/atom

(2)
Entry from Alexandria: Ce2ZrCoS5 after structural relaxation (PBE-GGA).

Lattice parameters (Å, degrees): 3.733 16.195 11.643 90.00 90.00 90.00
Space group Cmc2_1 (No. 36)
Symmetry-distinct sites (fractional):
Ce: 0.000 0.109 0.000 (multiplicity 4)
Ce: 0.000 0.124 0.354 (multiplicity 4)
Zr: 0.000 0.175 0.675 (multiplicity 4)
Co: 0.000 0.439 0.077 (multiplicity 4)
S: 0.000 0.019 0.671 (multiplicity 4)
S: 0.000 0.308 0.336 (multiplicity 4)
S: 0.000 0.309 0.020 (multiplicity 4)
S: 0.000 0.340 0.674 (multiplicity 4)
S: 0.000 0.498 0.908 (multiplicity 4)

Computed properties:
energy = -6.9911 eV per atom
DOS at the Fermi energy = 40.249 states/eV per cell
energy relative to the elements, uncorrected = -1.640 eV/atom